Record 1
A PBEsol-optimized structure of BeSb2SI, computed with SCAN.

Cell: 5.2037 5.2037 5.1690 Å, 90.00 90.00 90.00°
With the nearest neighbours (Å) after each atom.
Atoms (fractional coordinates):
Be1 0.0000 0.0000 0.0000  8 Sb 3.67, 4 I 3.68
Sb1 0.0000 0.5000 0.5000  2 S 2.60
Sb2 0.5000 0.0000 0.5000  2 S 2.60
S1 0.5000 0.5000 0.5000  2 I 2.58, 4 Sb 2.60
I1 0.5000 0.5000 0.0000  2 S 2.58

M_tot (μB per formula unit): 0.6
Energy relative to the elements, uncorrected (eV/atom): 1.15

Record 2
A PBEsol-optimized structure of TiBe2SI, computed with SCAN.

Cell: 4.1603 4.1603 4.7382 Å, 90.00 90.00 90.00°
With the nearest neighbours (Å) after each atom.
Atoms (fractional coordinates):
Ti1 0.0000 0.0000 0.0000  2 S 2.37
Be1 0.0000 0.5000 0.5000  2 S 2.08
Be2 0.5000 0.0000 0.5000  2 S 2.08
S1 0.0000 0.0000 0.5000  4 Be 2.08
I1 0.5000 0.5000 0.0000  4 Ti 2.94, 8 Be 3.15

M_tot (μB per formula unit): 1.2
Energy relative to the elements, uncorrected (eV/atom): 0.45

Record 3
A PBEsol-optimized structure of BeSbI3, computed with SCAN.

Cell: 5.9019 5.9019 5.9019 Å, 90.00 90.00 90.00°
With the nearest neighbours (Å) after each atom.
Atoms (fractional coordinates):
Be1 0.0000 0.0000 0.0000  12 I 4.17
Sb1 0.5000 0.5000 0.5000  6 I 2.95
I1 0.0000 0.5000 0.5000  2 Sb 2.95
I2 0.5000 0.0000 0.5000  2 Sb 2.95
I3 0.5000 0.5000 0.0000  2 Sb 2.95

M_tot (μB per formula unit): 0.2
Energy relative to the elements, uncorrected (eV/atom): 0.54

Record 4
A PBEsol-optimized structure of BeSiSb2I, computed with SCAN.

Cell: 4.8974 4.8974 4.9546 Å, 90.00 90.00 90.00°
With the nearest neighbours (Å) after each atom.
Atoms (fractional coordinates):
Be1 0.0000 0.0000 0.0000  4 Sb 2.45, 2 I 2.48
Si1 0.5000 0.5000 0.5000  4 I 3.46, 8 Sb 3.48
Sb1 0.0000 0.5000 0.0000  2 Be 2.45
Sb2 0.5000 0.0000 0.0000  2 Be 2.45
I1 0.0000 0.0000 0.5000  2 Be 2.48

M_tot (μB per formula unit): 0.0
Energy relative to the elements, uncorrected (eV/atom): 0.87